# Y2HfCo2

A relaxed Y2HfCo2 crystal (PBE-GGA, the Alexandria database).

Output
D(E_F) = 1.10 states/eV/atom
VASP energy = -7.224 eV per atom
SG = I4/mmm, No. 139
Crystal system = tetragonal
M_tot = 0.5277 μB/atom

Cell and atoms, written as POSCAR:
```
Y2HfCo2
1.0
3.329 0.000 0.000
0.000 3.329 0.000
1.664 1.664 9.709
Hf Y Co
1 2 2
Cartesian
0.000 0.000 0.000
1.664 1.664 2.441
3.329 3.329 7.268
3.329 1.664 4.854
1.664 3.329 4.854
```